First-principles (PBE) data for a geometry-optimized CoHg3 structure, as listed in Alexandria via LeMat-Bulk.

Properties
Relative energy among the computed polymorphs: 262 meV/atom

Cell lengths 6.807, 6.807, 6.807 Å; angles 90.00, 90.00, 90.00 degrees
Space group Fm-3m (No. 225)
Inequivalent atoms, fractional coordinates:
Co (0.000, 0.000, 0.000)
Hg (0.000, 0.000, 0.500)
Hg (0.250, 0.250, 0.250)

***

First-principles (PBE) data for a geometry-optimized CoHg structure, as listed in Alexandria via LeMat-Bulk.

Cell lengths 7.183, 7.183, 7.183 Å; angles 90.00, 90.00, 90.00 degrees
Space group Pm-3n (No. 223)
Inequivalent atoms, fractional coordinates:
Co (0.000, 0.250, 0.500)
Hg (0.000, 0.500, 0.250)

***

First-principles (PBE) data for a geometry-optimized CoHg5 structure, as listed in Alexandria via LeMat-Bulk.

Cell lengths 8.370, 8.370, 8.370 Å; angles 90.00, 90.00, 90.00 degrees
Space group F-43m (No. 216)
Inequivalent atoms, fractional coordinates:
Co (0.000, 0.000, 0.000)
Hg (0.126, 0.126, 0.626)
Hg (0.250, 0.250, 0.250)

***

First-principles (PBE) data for a geometry-optimized CoHg3 structure, as listed in Alexandria via LeMat-Bulk.

Properties
Relative energy among the computed polymorphs: 184 meV/atom

Cell lengths 6.3984, 6.3984, 4.4619 Å; angles 90.00, 90.00, 120.00 degrees
Space group P6_3/mmc (No. 194)
Inequivalent atoms, fractional coordinates:
Co (0.3333, 0.6667, 0.2500)
Hg (0.1763, 0.3527, 0.7500)

***

First-principles (PBE) data for a geometry-optimized CoHg structure, as listed in Alexandria via LeMat-Bulk.

Cell lengths 2.995, 15.266, 2.957 Å; angles 90.00, 90.00, 90.00 degrees
Space group Cmcm (No. 63)
Inequivalent atoms, fractional coordinates:
Co (0.000, 0.213, 0.250)
Hg (0.000, 0.412, 0.250)

***

First-principles (PBE) data for a geometry-optimized CoHg3 structure, as listed in Alexandria via LeMat-Bulk.

Properties
Relative energy among the computed polymorphs: 111 meV/atom

Cell lengths 3.1686, 3.1686, 28.8780 Å; angles 90.00, 90.00, 120.00 degrees
Space group R-3m (No. 166, hexagonal axes)
Inequivalent atoms, fractional coordinates:
Co (0.0000, 0.0000, 0.0000)
Hg (0.0000, 0.0000, 0.2630)
Hg (0.0000, 0.0000, 0.5000)

***

First-principles (PBE) data for a geometry-optimized CoHg5 structure, as listed in Alexandria via LeMat-Bulk.

Cell lengths 5.6080, 5.6080, 5.8114 Å; angles 90.00, 90.00, 120.00 degrees
Space group P6/mmm (No. 191)
Inequivalent atoms, fractional coordinates:
Co (0.0000, 0.0000, 0.0000)
Hg (0.0000, 0.5000, 0.5000)
Hg (0.3333, 0.6667, 0.0000)

***

First-principles (PBE) data for a geometry-optimized CoHg structure, as listed in Alexandria via LeMat-Bulk.

Cell lengths 7.888, 7.888, 7.888 Å; angles 90.00, 90.00, 90.00 degrees
Space group I-43m (No. 217)
Inequivalent atoms, fractional coordinates:
Co (0.103, 0.103, 0.103)
Hg (0.211, 0.211, 0.789)

***

Going through the records in order, we get N(E_F) values of 17.92; 25.94; 34.15; 8.97; 7.49; 9.23; 6.07; 26.53 states/eV per cell.
Going through the records in order, we get total energy values of -1.46; -2.39; -0.80; -1.54; -3.40; -1.61; -0.79; -2.97 eV per atom.